Ac6TcOs: optimized geometry, PBE.

Calculated values
**E_tot**: -45.97 eV/cell
**ΔE_f**: 0.034 eV/atom
**Density**: 8634 kg/m3

abc: 7.211 7.211 7.294
angles: 98.15 98.15 119.32
Positions (direct):
Ac1 0.089 0.409 0.251
Ac2 0.250 0.250 0.752
Ac3 0.409 0.089 0.251
Ac4 0.591 0.911 0.749
Ac5 0.750 0.750 0.248
Ac6 0.911 0.591 0.749
Tc1 0.000 0.000 0.000
Os1 0.500 0.500 0.500